Entry 1
## Na2YCo (PBE)

Data for a geometry-optimized Na2YCo structure.

The total magnetization comes out at 0.00 μB/atom. As for the density of states at the Fermi level: 1.23 states/eV/atom.

The space group is Fm-3m (No. 225) and the conventional cell measures 7.103, 7.103 and 7.103 Å, with angles of 90.00, 90.00 and 90.00 degrees. The inequivalent atoms are Na at (0.250, 0.250, 0.250), Y at (0.000, 0.000, 0.000) and Co at (0.000, 0.000, 0.500).


Entry 2
## Na2YCo (PBE)

Data for a geometry-optimized Na2YCo structure.

The total magnetization comes out at 0.02 μB/atom. As for the density of states at the Fermi level: 0.62 states/eV/atom.

The space group is I-42d (No. 122) and the conventional cell measures 3.947, 3.947 and 24.139 Å, with angles of 90.00, 90.00 and 90.00 degrees. The inequivalent atoms are Na at (0.226, 0.250, 0.125), Y at (0.000, 0.000, 0.500) and Co at (0.000, 0.000, 0.000).


Which one sits at the top of the stability order? entry 2 does.


Entry 1
## NaZnCo3 (PBE)

Data for a geometry-optimized NaZnCo3 structure.

The total magnetization comes out at 0.87 μB/atom. As for the density of states at the Fermi level: 1.95 states/eV/atom.

The space group is Pm-3m (No. 221) and the conventional cell measures 4.354, 4.354 and 4.354 Å, with angles of 90.00, 90.00 and 90.00 degrees. The inequivalent atoms are Na at (0.000, 0.000, 0.000), Zn at (0.500, 0.500, 0.500) and Co at (0.000, 0.000, 0.500).


Entry 2
## NaZnCo3 (PBE)

Data for a geometry-optimized NaZnCo3 structure.

The total magnetization comes out at 0.96 μB/atom. As for the density of states at the Fermi level: 1.81 states/eV/atom.

The space group is Pm-3m (No. 221) and the conventional cell measures 4.495, 4.495 and 4.495 Å, with angles of 90.00, 90.00 and 90.00 degrees. The inequivalent atoms are Na at (0.000, 0.000, 0.000), Zn at (0.500, 0.500, 0.500) and Co at (0.000, 0.500, 0.500).


Which one sits at the top of the stability order? entry 2 does.


Entry 1
## NaZn2Co (PBE)

Data for a geometry-optimized NaZn2Co structure.

The total magnetization comes out at 0.00 μB/atom. As for the density of states at the Fermi level: 0.59 states/eV/atom.

The space group is Fm-3m (No. 225) and the conventional cell measures 6.203, 6.203 and 6.203 Å, with angles of 90.00, 90.00 and 90.00 degrees. The inequivalent atoms are Na at (0.000, 0.000, 0.000), Zn at (0.250, 0.250, 0.250) and Co at (0.000, 0.000, 0.500).


Entry 2
## NaZn2Co (PBE)

Data for a geometry-optimized NaZn2Co structure.

The total magnetization comes out at 0.00 μB/atom. As for the density of states at the Fermi level: 0.52 states/eV/atom.

The space group is P4/mmm (No. 123) and the conventional cell measures 2.930, 2.930 and 7.551 Å, with angles of 90.00, 90.00 and 90.00 degrees. The inequivalent atoms are Na at (0.000, 0.000, 0.000), Zn at (0.500, 0.500, 0.317) and Co at (0.000, 0.000, 0.500).


Which one sits at the top of the stability order? entry 2 does.


Entry 1
## Na2ZrCo2 (PBE)

Data for a geometry-optimized Na2ZrCo2 structure.

The total magnetization comes out at 0.03 μB/atom. As for the density of states at the Fermi level: 0.67 states/eV/atom.

The space group is I4/mmm (No. 139) and the conventional cell measures 4.586, 4.586 and 8.109 Å, with angles of 90.00, 90.00 and 90.00 degrees. The inequivalent atoms are Na at (0.000, 0.000, 0.130), Zr at (0.000, 0.000, 0.500) and Co at (0.000, 0.500, 0.250).


Entry 2
## Na2ZrCo2 (PBE)

Data for a geometry-optimized Na2ZrCo2 structure.

The total magnetization comes out at 0.53 μB/atom. As for the density of states at the Fermi level: 1.37 states/eV/atom.

The space group is P4/mbm (No. 127) and the conventional cell measures 8.130, 8.130 and 2.691 Å, with angles of 90.00, 90.00 and 90.00 degrees. The inequivalent atoms are Na at (0.111, 0.389, 0.000), Zr at (0.000, 0.000, 0.000) and Co at (0.193, 0.693, 0.500).


Which one sits at the top of the stability order? entry 2 does.


Entry 1
## NaZr3Co (PBE)

Data for a geometry-optimized NaZr3Co structure.

The total magnetization comes out at 0.00 μB/atom. As for the density of states at the Fermi level: 1.85 states/eV/atom.

The space group is Pm-3m (No. 221) and the conventional cell measures 4.939, 4.939 and 4.939 Å, with angles of 90.00, 90.00 and 90.00 degrees. The inequivalent atoms are Na at (0.000, 0.000, 0.000), Zr at (0.000, 0.500, 0.500) and Co at (0.500, 0.500, 0.500).


Entry 2
## NaZr3Co (PBE)

Data for a geometry-optimized NaZr3Co structure.

The total magnetization comes out at 0.00 μB/atom. As for the density of states at the Fermi level: 1.75 states/eV/atom.

The space group is Pm-3m (No. 221) and the conventional cell measures 4.880, 4.880 and 4.880 Å, with angles of 90.00, 90.00 and 90.00 degrees. The inequivalent atoms are Na at (0.000, 0.000, 0.000), Zr at (0.000, 0.000, 0.500) and Co at (0.500, 0.500, 0.500).


Which one sits at the top of the stability order? entry 1 does.


Entry 1
## NaZr2Co2 (PBE)

Data for a geometry-optimized NaZr2Co2 structure.

The total magnetization comes out at 0.00 μB/atom. As for the density of states at the Fermi level: 0.88 states/eV/atom.

The space group is P4/mbm (No. 127) and the conventional cell measures 7.574, 7.574 and 3.115 Å, with angles of 90.00, 90.00 and 90.00 degrees. The inequivalent atoms are Na at (0.000, 0.000, 0.000), Zr at (0.150, 0.350, 0.500) and Co at (0.134, 0.634, 0.000).


Entry 2
## NaZr2Co2 (PBE)

Data for a geometry-optimized NaZr2Co2 structure.

The total magnetization comes out at 0.00 μB/atom. As for the density of states at the Fermi level: 1.14 states/eV/atom.

The space group is I4/mmm (No. 139) and the conventional cell measures 3.424, 3.424 and 18.935 Å, with angles of 90.00, 90.00 and 90.00 degrees. The inequivalent atoms are Na at (0.000, 0.000, 0.000), Zr at (0.000, 0.000, 0.349) and Co at (0.000, 0.500, 0.250).


Which one sits at the top of the stability order? entry 1 does.


Entry 1
## NbCo2Ni3 (PBE)

Data for a geometry-optimized NbCo2Ni3 structure.

The total magnetization comes out at 0.44 μB/atom. As for the density of states at the Fermi level: 1.46 states/eV/atom.

The space group is Fddd (No. 70, origin choice 2) and the conventional cell measures 5.153, 7.234 and 15.426 Å, with angles of 90.00, 90.00 and 90.00 degrees. The inequivalent atoms are Nb at (0.125, 0.125, 0.125), Co at (0.125, 0.125, 0.295), Ni at (0.125, 0.125, 0.465) and Ni at (0.125, 0.125, 0.625).


Entry 2
## NbCo2Ni3 (PBE)

Data for a geometry-optimized NbCo2Ni3 structure.

The total magnetization comes out at 0.48 μB/atom. As for the density of states at the Fermi level: 1.48 states/eV/atom.

The space group is C2/c (No. 15) and the conventional cell measures 6.440, 7.103 and 6.468 Å, with angles of 90.00, 99.90 and 90.00 degrees. The inequivalent atoms are Nb at (0.000, 0.085, 0.250), Co at (0.126, 0.246, 0.624), Ni at (0.000, 0.431, 0.250) and Ni at (0.234, 0.412, 0.004).


Which one sits at the top of the stability order? entry 1 does.